(1)
A relaxed structure of LiMg5InHg2. Source: Alexandria via LeMat-Bulk, functional PBE.

The structure belongs to space group I4/mcm (No. 140); the cell edges are 7.971, 7.971 and 13.141 Å and the angles 90.00°, 90.00° and 90.00°. The asymmetric unit holds Li at (0.000, 0.500, 0.250), Mg at (0.000, 0.000, 0.000), Mg at (0.203, 0.297, 0.136), In at (0.000, 0.000, 0.250) and Hg at (0.122, 0.378, 0.500).

The calculation puts the energy of formation from the pure elements at -0.25 eV per formula unit. The total magnetization comes out at 0.000 μB/cell.

---

(2)
A relaxed structure of KHg2As. Source: Alexandria via LeMat-Bulk, functional PBE.

The structure belongs to space group P4mm (No. 99); the cell edges are 3.912, 3.912 and 8.081 Å and the angles 90.00°, 90.00° and 90.00°. The asymmetric unit holds K at (0.000, 0.000, 0.000), Hg at (0.000, 0.000, 0.405), Hg at (0.500, 0.500, 0.714) and As at (0.500, 0.500, 0.342).

The calculation puts the energy of formation from the pure elements at -0.23 eV per formula unit. The total magnetization comes out at 0.000 μB/cell.

---

(3)
A relaxed structure of HgTe2Pt. Source: Alexandria via LeMat-Bulk, functional PBE.

The structure belongs to space group I4/mcm (No. 140); the cell edges are 8.899, 8.899 and 5.591 Å and the angles 90.00°, 90.00° and 90.00°. The asymmetric unit holds Hg at (0.000, 0.000, 0.250), Te at (0.179, 0.321, 0.000) and Pt at (0.000, 0.500, 0.250).

For the uncorrected formation energy, the calculation gives 0.006 eV per atom. The total magnetization comes out at 0.000 μB/cell.

---

(4)
A relaxed structure of In3GaF. Source: Alexandria via LeMat-Bulk, functional PBE.

The structure belongs to space group Pm-3m (No. 221); the cell edges are 5.025, 5.025 and 5.025 Å and the angles 90.00°, 90.00° and 90.00°. The asymmetric unit holds In at (0.000, 0.000, 0.500), Ga at (0.500, 0.500, 0.500) and F at (0.000, 0.000, 0.000).

For the uncorrected formation energy, the calculation gives -0.398 eV per atom. The total magnetization comes out at 0.000 μB/cell. Its offset from the most stable computed form is 0.00 kcal/mol of atoms.

---

(5)
A relaxed structure of PmUN2. Source: Alexandria via LeMat-Bulk, functional PBE.

The structure belongs to space group R-3m (No. 166, hexagonal axes); the cell edges are 3.5056, 3.5056 and 17.3405 Å and the angles 90.00°, 90.00° and 120.00°. The asymmetric unit holds Pm at (0.0000, 0.0000, 0.0000), U at (0.0000, 0.0000, 0.5000) and N at (0.0000, 0.0000, 0.2382).

For the uncorrected formation energy, the calculation gives -1.416 eV per atom. The total magnetization comes out at 3.598 μB/cell. Its offset from the most stable computed form is 0.00 kcal/mol of atoms.

---

(6)
A relaxed structure of Tl2FeIr. Source: Alexandria via LeMat-Bulk, functional PBE.

The structure belongs to space group Fm-3m (No. 225); the cell edges are 6.552, 6.552 and 6.552 Å and the angles 90.00°, 90.00° and 90.00°. The asymmetric unit holds Tl at (0.250, 0.250, 0.250), Fe at (0.000, 0.000, 0.000) and Ir at (0.000, 0.000, 0.500).

The calculation puts the energy of formation from the pure elements at 3.00 eV per formula unit. The total magnetization comes out at 0.000 μB/cell. Its offset from the most stable computed form is 9.17 kcal/mol of atoms.

---

(7)
A relaxed structure of Mg2Tl3Pd8. Source: Alexandria via LeMat-Bulk, functional PBE.

The structure belongs to space group R-3m (No. 166, hexagonal axes); the cell edges are 5.3672, 5.3672 and 29.9246 Å and the angles 90.00°, 90.00° and 120.00°. The asymmetric unit holds Mg at (0.0000, 0.0000, 0.1375), Tl at (0.0000, 0.0000, 0.3153), Tl at (0.0000, 0.0000, 0.5000), Pd at (0.0000, 0.0000, 0.2234) and Pd at (0.0021, 0.5011, 0.2670).

The calculation puts the energy of formation from the pure elements at -1.79 eV per formula unit. The total magnetization comes out at 0.000 μB/cell.

---

(8)
A relaxed structure of CeTiSb2. Source: Alexandria via LeMat-Bulk, functional PBE.

The structure belongs to space group P4/mmm (No. 123); the cell edges are 3.573, 3.573 and 7.534 Å and the angles 90.00°, 90.00° and 90.00°. The asymmetric unit holds Ce at (0.000, 0.000, 0.000), Ti at (0.000, 0.000, 0.500) and Sb at (0.500, 0.500, 0.285).

For the uncorrected formation energy, the calculation gives -0.479 eV per atom. The total magnetization comes out at 1.988 μB/cell. Its offset from the most stable computed form is 5.44 kcal/mol of atoms.